No. 1
HoEr2PuO8 PBE relaxed; ΔE_f (raw) = -300.4 kJ/mol of atoms; total magnetization = 0.99 μB per cell; space group = Cmmm
1.0
5.0555 -0.0531 -0.0029
-0.0279 5.0561 -0.0056
0.0041 0.0077 6.9146
Ho Er Pu O
1 2 1 8
direct
0.0000 0.0000 0.5000
0.5000 0.5000 0.7396
0.5000 0.5000 0.2604
0.0000 0.0000 0.0000
0.1848 0.8148 0.2231
0.7180 0.7184 0.0000
0.8152 0.1852 0.2231
0.8152 0.1852 0.7769
0.2820 0.2816 0.0000
0.1848 0.8148 0.7769
0.6917 0.6918 0.5000
0.3083 0.3082 0.5000

=====

No. 2
InPdPb2 PBE relaxed; electronic total energy = -3.952 eV per atom; total magnetization = 0.00 μB per cell; space group = P4/mmm
1.0
3.4199 0.0000 0.0000
0.0000 3.4199 0.0000
0.0000 0.0000 8.6815
Pb Pd In
2 1 1
direct
0.0000 0.0000 0.7976
0.0000 0.0000 0.2024
0.5000 0.5000 0.0000
0.5000 0.5000 0.5000

=====

No. 3
Ba6Cu2Hg PBE relaxed; electronic total energy = -2.323 eV per atom; total magnetization = 0.00 μB per cell; space group = Immm
1.0
9.3860 -0.0431 -3.3163
-5.0362 8.1062 -2.8324
-0.0021 0.0431 9.9546
Ba Cu Hg
12 4 2
direct
0.5448 0.7211 0.8237
0.4552 0.2789 0.1763
0.1026 0.2789 0.8237
0.8974 0.7211 0.1763
0.8095 0.7643 0.5738
0.1905 0.2357 0.4262
0.1905 0.7643 0.9547
0.8095 0.2357 0.0453
0.6939 0.3695 0.6756
0.3061 0.6305 0.3244
0.3061 0.9816 0.6756
0.6939 0.0184 0.3244
0.5000 0.3955 0.8955
0.5000 0.6045 0.1045
0.6215 0.0000 0.6215
0.3785 0.0000 0.3785
0.0000 0.5000 0.5000
0.0000 0.0000 0.0000